[1]
A geometry-optimized In2MoRh structure. Source: Alexandria via LeMat-Bulk, functional PBE.

abc: 4.8837 2.9576 5.4791
angles: 90.00 113.83 90.00
Last column: nearest neighbours and their distance in Å.
Element x y z (fractional)
In 0.0000 0.0000 0.0000  2 Mo 2.84, 4 Rh 2.85, 6 In 2.96-3.11
In 0.0000 0.5000 0.5000  2 Rh 2.84, 4 Mo 2.85, 6 In 2.96-3.11
Mo 0.5000 0.0000 0.5000  6 In 2.84-2.85, 2 Mo 2.96, 4 Rh 3.11
Rh 0.5000 0.5000 0.0000  6 In 2.84-2.85, 2 Rh 2.96, 4 Mo 3.11

The value obtained for the uncorrected energy is -22.95 eV/cell.

***

[2]
A geometry-optimized Na4B7C structure. Source: Alexandria via LeMat-Bulk, functional PBE.

abc: 5.1266 5.9690 9.1602
angles: 99.37 106.24 90.04
Last column: nearest neighbours and their distance in Å.
Element x y z (fractional)
Na 0.0000 0.0000 0.0000  2 C 2.75, 10 B 2.75-2.81, 6 Na 2.96-2.98
Na 0.0000 0.5000 0.0000  12 B 2.72-2.84, 6 Na 2.96-2.98
Na 0.2492 0.1245 0.4990  10 B 2.71-2.82, 2 C 2.74-2.77, 6 Na 2.96-2.99
Na 0.2513 0.6248 0.4993  11 B 2.71-2.83, 1 C 2.78, 6 Na 2.95-2.99
Na 0.4996 0.2502 0.9999  10 B 2.71-2.80, 2 C 2.77-2.78, 6 Na 2.96-2.99
Na 0.5004 0.7498 0.0001  10 B 2.71-2.80, 2 C 2.77-2.78, 6 Na 2.96-2.99
Na 0.7487 0.3752 0.5007  11 B 2.71-2.83, 1 C 2.78, 6 Na 2.95-2.99
Na 0.7508 0.8755 0.5010  10 B 2.71-2.82, 2 C 2.74-2.77, 6 Na 2.96-2.99
B 0.0592 0.1744 0.7493  1 C 1.60, 1 B 1.71
B 0.0589 0.7007 0.7496  1 C 1.60, 1 B 1.72
B 0.1937 0.4372 0.7487  3 B 1.71-1.81
B 0.2934 0.8144 0.2491  3 B 1.71-1.81
B 0.2936 0.3096 0.2489  3 B 1.71-1.81
B 0.4524 0.5622 0.2494  3 B 1.71-1.81
B 0.4757 0.0623 0.2493  1 C 1.64, 2 B 1.75
B 0.5243 0.9377 0.7507  1 C 1.64, 2 B 1.75
B 0.5476 0.4378 0.7506  3 B 1.71-1.81
B 0.7064 0.6904 0.7511  3 B 1.71-1.81
B 0.7066 0.1856 0.7509  3 B 1.71-1.81
B 0.8063 0.5628 0.2513  3 B 1.71-1.81
B 0.9411 0.2993 0.2504  1 C 1.60, 1 B 1.72
B 0.9408 0.8256 0.2507  1 C 1.60, 1 B 1.71
C 0.2043 0.9377 0.7494  3 B 1.60-1.64
C 0.7957 0.0623 0.2506  3 B 1.60-1.64

The value obtained for the uncorrected energy is -116.70 eV/cell.

***

[3]
A geometry-optimized HfMgBr2 structure. Source: Alexandria via LeMat-Bulk, functional PBE.

abc: 10.7230 10.7230 10.7230
angles: 18.10 18.10 18.10
Last column: nearest neighbours and their distance in Å.
Element x y z (fractional)
Hf 0.0000 0.0000 0.0000  6 Br 2.77
Mg 0.5000 0.5000 0.5000  2 Br 3.31, 6 Mg 3.37
Br 0.3954 0.3954 0.3954  3 Hf 2.77
Br 0.6046 0.6046 0.6046  3 Hf 2.77

The value obtained for the uncorrected energy is -17.33 eV/cell. For the raw formation energy, the calculation gives -0.610 eV per atom.

***

[4]
A geometry-optimized ZrTe2P structure. Source: Alexandria via LeMat-Bulk, functional PBE.

abc: 8.1272 8.1272 8.1272
angles: 152.97 151.76 39.48
Last column: nearest neighbours and their distance in Å.
Element x y z (fractional)
Zr 0.0000 0.0000 0.0000  2 P 2.75, 6 Te 3.00-3.05
Te 0.4126 0.4126 0.0000  4 Zr 3.05
Te 0.6469 0.1469 0.5000  4 P 2.76, 2 Zr 3.00
P 0.1301 0.6301 0.5000  2 Zr 2.75, 4 Te 2.76

The value obtained for the uncorrected energy is -22.45 eV/cell. For the raw formation energy, the calculation gives -0.553 eV per atom.

***

[5]
A geometry-optimized Tm2HfNpP4 structure. Source: Alexandria via LeMat-Bulk, functional PBE.

abc: 6.7045 3.8758 6.7195
angles: 90.00 109.24 90.00
Last column: nearest neighbours and their distance in Å.
Element x y z (fractional)
Tm 0.0000 0.0000 0.0000  6 P 2.74-2.75
Tm 0.5000 0.5000 0.0000  6 P 2.80
Hf 0.0000 0.5000 0.5000  6 P 2.67-2.69
Np 0.5000 0.0000 0.5000  6 P 2.73-2.74
P 0.2398 0.0000 0.7389  2 Hf 2.69, 1 Np 2.73, 3 Tm 2.74-2.80
P 0.2446 0.5000 0.2562  1 Hf 2.67, 2 Np 2.74, 3 Tm 2.75-2.80
P 0.7554 0.5000 0.7438  1 Hf 2.67, 2 Np 2.74, 3 Tm 2.75-2.80
P 0.7602 0.0000 0.2611  2 Hf 2.69, 1 Np 2.73, 3 Tm 2.74-2.80

The value obtained for the uncorrected energy is -64.20 eV/cell.

***

[6]
A geometry-optimized Ge2Ru2O structure. Source: Alexandria via LeMat-Bulk, functional PBE.

abc: 6.4574 6.4574 6.4574
angles: 147.58 147.58 46.51
Last column: nearest neighbours and their distance in Å.
Element x y z (fractional)
Ge 0.2500 0.7500 0.5000  4 Ru 2.46, 4 Ge 2.55
Ge 0.7500 0.2500 0.5000  4 Ru 2.46, 4 Ge 2.55
Ru 0.1084 0.1084 0.0000  4 Ge 2.46, 1 Ru 2.57
Ru 0.8916 0.8916 0.0000  4 Ge 2.46, 1 Ru 2.57
O 0.5000 0.5000 0.0000  8 Ru 2.86

The value obtained for the uncorrected energy is -30.26 eV/cell. For the raw formation energy, the calculation gives 0.498 eV per atom.

***

Q: Among the records above, which one has the lowest uncorrected energy?
A: Na4B7C